[1]
Entry from Alexandria via LeMat-Bulk: a geometry-optimized TiMnSe2Br structure (PBE).

Geometry as POSCAR:
```
TiMnSe2Br
1.0
4.988 0.000 0.000
0.000 4.988 0.000
0.000 0.000 5.078
Ti Mn Se Br
1 1 2 1
Cartesian
0.000 0.000 0.000
2.494 2.494 2.539
0.000 2.494 0.000
2.494 0.000 0.000
0.000 0.000 2.539
```

Raw formation energy ... -0.1890 eV/atom
SG ... No. 123
Energy relative to the lowest polymorph listed for this composition ... 0 meV/atom
Uncorrected energy ... -26.7 eV/cell

=====

[2]
Entry from Alexandria via LeMat-Bulk: a geometry-optimized TiMnSeBr2 structure (PBE).

Geometry as POSCAR:
```
TiMnSeBr2
1.0
5.187 0.000 0.000
0.000 5.187 0.000
0.000 0.000 5.015
Ti Mn Se Br
1 1 1 2
Cartesian
0.000 0.000 0.000
2.594 2.594 2.507
0.000 0.000 2.507
0.000 2.594 0.000
2.594 0.000 0.000
```

Raw formation energy ... -0.2175 eV/atom
SG ... No. 123
Energy relative to the lowest polymorph listed for this composition ... 0 meV/atom
Uncorrected energy ... -25.0 eV/cell

=====

[3]
Entry from Alexandria via LeMat-Bulk: a geometry-optimized MnTlSe2Br structure (PBE).

Geometry as POSCAR:
```
MnTlSe2Br
1.0
4.890 0.000 0.000
0.000 4.890 0.000
0.000 0.000 5.513
Mn Tl Se Br
1 1 2 1
Cartesian
0.000 0.000 0.000
2.445 2.445 2.756
0.000 2.445 0.000
2.445 0.000 0.000
0.000 0.000 2.756
```

Raw formation energy ... -0.2953 eV/atom
SG ... No. 123
Energy relative to the lowest polymorph listed for this composition ... 0 meV/atom
Uncorrected energy ... -21.7 eV/cell

=====

[4]
Entry from Alexandria via LeMat-Bulk: a geometry-optimized MnVSeBr2 structure (PBE).

Geometry as POSCAR:
```
MnVSeBr2
1.0
5.132 0.000 0.000
0.000 5.132 0.000
0.000 0.000 4.935
Mn V Se Br
1 1 1 2
Cartesian
0.000 0.000 0.000
2.566 2.566 2.467
2.566 2.566 0.000
0.000 2.566 2.467
2.566 0.000 2.467
```

Raw formation energy ... 0.0127 eV/atom
SG ... No. 123
Energy relative to the lowest polymorph listed for this composition ... 0 meV/atom
Uncorrected energy ... -25.1 eV/cell

=====

[5]
Entry from Alexandria via LeMat-Bulk: a geometry-optimized MnVSeBr2 structure (PBE).

Geometry as POSCAR:
```
MnVSeBr2
1.0
4.982 0.000 0.000
0.000 4.982 0.000
0.000 0.000 4.594
Mn V Se Br
1 1 1 2
Cartesian
0.000 0.000 0.000
2.491 2.491 2.297
0.000 0.000 2.297
0.000 2.491 0.000
2.491 0.000 0.000
```

Raw formation energy ... 0.7674 eV/atom
SG ... No. 123
Energy relative to the lowest polymorph listed for this composition ... 755 meV/atom
Uncorrected energy ... -21.3 eV/cell

=====

[6]
Entry from Alexandria via LeMat-Bulk: a geometry-optimized YMnSeBr2 structure (PBE).

Geometry as POSCAR:
```
YMnSeBr2
1.0
5.019 0.000 0.000
0.000 5.019 0.000
0.000 0.000 5.195
Y Mn Se Br
1 1 1 2
Cartesian
0.000 0.000 0.000
2.509 2.509 2.597
2.509 2.509 0.000
0.000 2.509 2.597
2.509 0.000 2.597
```

Raw formation energy ... -0.5094 eV/atom
SG ... No. 123
Energy relative to the lowest polymorph listed for this composition ... 140 meV/atom
Uncorrected energy ... -25.0 eV/cell

=====

[7]
Entry from Alexandria via LeMat-Bulk: a geometry-optimized YMnSeBr2 structure (PBE).

Geometry as POSCAR:
```
YMnSeBr2
1.0
5.583 0.000 0.000
0.000 5.583 0.000
0.000 0.000 5.517
Y Mn Se Br
1 1 1 2
Cartesian
0.000 0.000 0.000
2.792 2.792 2.758
0.000 0.000 2.758
0.000 2.792 0.000
2.792 0.000 0.000
```

Raw formation energy ... -0.6497 eV/atom
SG ... No. 123
Energy relative to the lowest polymorph listed for this composition ... 0 meV/atom
Uncorrected energy ... -25.7 eV/cell

=====

[8]
Entry from Alexandria via LeMat-Bulk: a geometry-optimized ZrMnSeBr2 structure (PBE).

Geometry as POSCAR:
```
ZrMnSeBr2
1.0
4.745 0.000 0.000
0.000 4.745 0.000
0.000 0.000 4.795
Zr Mn Se Br
1 1 1 2
Cartesian
0.000 0.000 0.000
2.372 2.372 2.398
2.372 2.372 0.000
0.000 2.372 2.398
2.372 0.000 2.398
```

Raw formation energy ... 0.3290 eV/atom
SG ... No. 123
Energy relative to the lowest polymorph listed for this composition ... 611 meV/atom
Uncorrected energy ... -22.9 eV/cell